Record 1
# LiErO

Crystalline LiErO at its relaxed geometry (PBE-GGA, the Alexandria database).

The calculation puts the formation energy (no corrections) at -1575 meV/atom. Its density of states at the Fermi level is 0.254 states/eV per atom. The calculation puts the volume at 143.4 Å³/cell.

Unit cell a=6.798 b=3.587 c=7.024 alpha=104.79 beta=118.94 gamma=90.00
Atoms (fractional coordinates):
Li1 0.732 0.232 0.463
Er1 0.231 0.500 0.000
Er2 0.769 0.500 0.000
O1 0.115 0.615 0.230
Li2 0.268 0.768 0.537
O2 0.885 0.385 0.770

---

Record 2
# LiErO3

Crystalline LiErO3 at its relaxed geometry (PBE-GGA, the Alexandria database).

The calculation puts the formation energy (no corrections) at -1817 meV/atom. Its density of states at the Fermi level is 0.376 states/eV per atom. The calculation puts the volume at 48.7 Å³/cell.

Unit cell a=3.652 b=3.652 c=3.652 alpha=90.00 beta=90.00 gamma=90.00
Atoms (fractional coordinates):
Li1 0.000 0.000 0.000
O1 0.500 0.000 0.000
Er1 0.500 0.500 0.500
O2 0.000 0.000 0.500
O3 0.000 0.500 0.000

---

Record 3
# LiErOs2O8

Crystalline LiErOs2O8 at its relaxed geometry (PBE-GGA, the Alexandria database).

The calculation puts the formation energy (no corrections) at -1528 meV/atom. Its density of states at the Fermi level is 0.482 states/eV per atom. The calculation puts the volume at 148.8 Å³/cell.

Unit cell a=5.160 b=5.160 c=6.673 alpha=112.74 beta=112.74 gamma=90.00
Atoms (fractional coordinates):
Os1 0.250 0.750 0.500
O1 0.583 0.666 0.670
Os2 0.500 0.500 0.000
O2 0.334 0.913 0.330
O3 0.756 0.832 0.158
O4 0.087 0.004 0.670
Er1 0.000 0.000 0.000
O5 0.996 0.417 0.330
Li1 0.750 0.250 0.500
O6 0.168 0.598 0.842
O7 0.402 0.326 0.158
O8 0.674 0.244 0.842

---

Record 4
# LiEr2PO6

Crystalline LiEr2PO6 at its relaxed geometry (PBE-GGA, the Alexandria database).

The calculation puts the formation energy (no corrections) at -2745 meV/atom. Its density of states at the Fermi level is 0.000 states/eV per atom. The calculation puts the volume at 111.2 Å³/cell.

Unit cell a=4.452 b=4.999 c=4.999 alpha=90.00 beta=90.00 gamma=90.00
Atoms (fractional coordinates):
Li1 0.578 0.500 0.500
O1 0.707 0.774 0.226
P1 0.609 0.000 0.000
O2 0.707 0.774 0.774
Er1 0.019 0.500 0.000
Er2 0.019 0.000 0.500
O3 0.249 0.000 0.000
O4 0.707 0.226 0.774
O5 0.147 0.500 0.500
O6 0.707 0.226 0.226

---

Record 5
# LiErP4O12

Crystalline LiErP4O12 at its relaxed geometry (PBE-GGA, the Alexandria database).

Its energy above the most stable polymorph in this dataset is 0.0723 eV per atom. The calculation puts the formation energy (no corrections) at -2389 meV/atom. Its density of states at the Fermi level is 0.000 states/eV per atom. The calculation puts the volume at 474.2 Å³/cell.

Unit cell a=9.143 b=8.979 c=7.242 alpha=66.22 beta=66.67 gamma=64.92
Atoms (fractional coordinates):
O1 0.827 0.653 0.353
P1 0.346 0.385 0.584
O2 0.034 0.176 0.185
O3 0.673 0.847 0.833
O4 0.297 0.476 0.985
O5 0.534 0.676 0.605
P2 0.846 0.885 0.686
P3 0.654 0.615 0.416
P4 0.154 0.115 0.314
O6 0.297 0.568 0.575
O7 0.703 0.524 0.015
O8 0.966 0.824 0.815
P5 0.908 0.793 0.312
O9 0.921 0.755 0.543
O10 0.079 0.245 0.457
O11 0.203 0.024 0.759
P6 0.092 0.207 0.688
O12 0.579 0.745 0.220
O13 0.078 0.757 0.158
P7 0.592 0.707 0.013
O14 0.797 0.976 0.241
O15 0.203 0.932 0.440
O16 0.422 0.743 0.993
Er1 0.750 0.250 0.244
Er2 0.250 0.750 0.756
O17 0.327 0.153 0.167
P8 0.408 0.293 0.987
Li1 0.500 0.500 0.000
O18 0.578 0.257 0.007
O19 0.173 0.347 0.647
O20 0.797 0.068 0.560
O21 0.466 0.324 0.395
O22 0.703 0.432 0.425
O23 0.421 0.255 0.780
Li2 0.000 0.000 0.000
O24 0.922 0.243 0.842

---

Record 6
# LiErP4O12

Crystalline LiErP4O12 at its relaxed geometry (PBE-GGA, the Alexandria database).

Its energy above the most stable polymorph in this dataset is 0.0000 eV per atom. The calculation puts the formation energy (no corrections) at -2461 meV/atom. Its density of states at the Fermi level is 0.000 states/eV per atom. The calculation puts the volume at 455.5 Å³/cell.

Unit cell a=8.927 b=8.927 c=9.651 alpha=57.44 beta=57.44 gamma=47.01
Atoms (fractional coordinates):
O1 0.851 0.008 0.725
P1 0.003 0.708 0.192
Er1 0.207 0.793 0.750
P2 0.708 0.003 0.692
Li1 0.707 0.293 0.750
O2 0.760 0.993 0.520
O3 0.599 0.178 0.187
O4 0.570 0.563 0.571
O5 0.992 0.149 0.775
O6 0.669 0.822 0.845
O7 0.437 0.430 0.929
P3 0.686 0.587 0.383
O8 0.149 0.992 0.275
P4 0.997 0.292 0.808
O9 0.475 0.216 0.733
O10 0.401 0.822 0.813
O11 0.007 0.240 0.980
P5 0.413 0.314 0.117
O12 0.216 0.475 0.233
O13 0.430 0.437 0.429
O14 0.822 0.669 0.345
O15 0.178 0.599 0.687
O16 0.525 0.784 0.267
P6 0.314 0.413 0.617
O17 0.331 0.178 0.155
P7 0.587 0.686 0.883
Er2 0.793 0.207 0.250
P8 0.292 0.997 0.308
O18 0.008 0.851 0.225
O19 0.822 0.401 0.313
O20 0.563 0.570 0.071
O21 0.240 0.007 0.480
O22 0.784 0.525 0.767
O23 0.993 0.760 0.020
O24 0.178 0.331 0.655
Li2 0.293 0.707 0.250

---

Record 7
# LiErPO4

Crystalline LiErPO4 at its relaxed geometry (PBE-GGA, the Alexandria database).

The calculation puts the formation energy (no corrections) at -2421 meV/atom. Its density of states at the Fermi level is 0.163 states/eV per atom. The calculation puts the volume at 161.1 Å³/cell.

Unit cell a=6.107 b=6.113 c=6.113 alpha=59.77 beta=60.03 gamma=60.03
Atoms (fractional coordinates):
Li1 0.000 0.000 0.500
Er1 0.000 0.000 0.000
P1 0.367 0.383 0.883
O1 0.682 0.276 0.776
O2 0.265 0.276 0.776
O3 0.735 0.727 0.803
P2 0.633 0.617 0.117
O4 0.735 0.303 0.227
O5 0.318 0.724 0.224
Er2 0.000 0.500 0.500
O6 0.265 0.697 0.773
O7 0.735 0.724 0.224
Li2 0.500 0.000 0.500
O8 0.265 0.273 0.197

---

Record 8
# LiErPa2O8

Crystalline LiErPa2O8 at its relaxed geometry (PBE-GGA, the Alexandria database).

The calculation puts the formation energy (no corrections) at -2590 meV/atom. Its density of states at the Fermi level is 0.475 states/eV per atom. The calculation puts the volume at 153.3 Å³/cell.

Unit cell a=5.724 b=5.724 c=5.404 alpha=90.00 beta=90.00 gamma=120.00
Atoms (fractional coordinates):
O1 0.326 0.273 0.812
Pa1 0.667 0.333 0.090
O2 0.947 0.674 0.812
O3 0.667 0.333 0.450
O4 0.674 0.727 0.188
Li1 0.000 0.000 0.000
O5 0.727 0.053 0.812
O6 0.053 0.326 0.188
O7 0.273 0.947 0.188
Er1 0.000 0.000 0.500
Pa2 0.333 0.667 0.910
O8 0.333 0.667 0.550

---

Record 9
# Li3Er2PdO6

Crystalline Li3Er2PdO6 at its relaxed geometry (PBE-GGA, the Alexandria database).

The calculation puts the formation energy (no corrections) at -2220 meV/atom. Its density of states at the Fermi level is 0.097 states/eV per atom. The calculation puts the volume at 137.4 Å³/cell.

Unit cell a=5.613 b=5.613 c=5.339 alpha=98.95 beta=98.95 gamma=120.63
Atoms (fractional coordinates):
O1 0.240 0.240 0.769
O2 0.590 0.921 0.751
Er1 0.670 0.330 0.000
Li1 0.855 0.145 0.500
O3 0.921 0.590 0.751
Pd1 0.000 0.000 0.000
Li2 0.500 0.500 0.500
O4 0.760 0.760 0.231
Er2 0.330 0.670 0.000
O5 0.079 0.410 0.249
O6 0.410 0.079 0.249
Li3 0.145 0.855 0.500

---

Record 10
# Li2PmErO4

Crystalline Li2PmErO4 at its relaxed geometry (PBE-GGA, the Alexandria database).

The calculation puts the formation energy (no corrections) at -2775 meV/atom. Its density of states at the Fermi level is 0.000 states/eV per atom. The calculation puts the volume at 103.2 Å³/cell.

Unit cell a=3.416 b=5.465 c=5.944 alpha=68.39 beta=90.00 gamma=90.00
Atoms (fractional coordinates):
O1 0.500 0.264 0.738
Li1 0.000 0.000 0.000
O2 0.000 0.262 0.258
O3 0.500 0.736 0.262
Li2 0.500 0.000 0.500
Pm1 0.500 0.500 0.000
O4 0.000 0.738 0.742
Er1 0.000 0.500 0.500

---

Record 11
# LiEr2PtO5

Crystalline LiEr2PtO5 at its relaxed geometry (PBE-GGA, the Alexandria database).

The calculation puts the formation energy (no corrections) at -2271 meV/atom. Its density of states at the Fermi level is 0.533 states/eV per atom. The calculation puts the volume at 240.2 Å³/cell.

Unit cell a=5.789 b=6.441 c=6.441 alpha=90.00 beta=90.00 gamma=90.00
Atoms (fractional coordinates):
Pt1 0.000 0.500 0.000
O1 0.262 0.139 0.639
Er1 0.500 0.175 0.325
O2 0.262 0.861 0.361
O3 0.262 0.639 0.861
O4 0.738 0.361 0.139
O5 0.500 0.000 0.000
Pt2 0.000 0.000 0.500
Er2 0.500 0.675 0.175
O6 0.262 0.361 0.139
Li1 0.000 0.000 0.000
O7 0.738 0.861 0.361
Er3 0.500 0.825 0.675
Li2 0.000 0.500 0.500
Er4 0.500 0.325 0.825
O8 0.738 0.639 0.861
O9 0.738 0.139 0.639
O10 0.500 0.500 0.500

---

Record 12
# Li3Er3PtO8

Crystalline Li3Er3PtO8 at its relaxed geometry (PBE-GGA, the Alexandria database).

The calculation puts the formation energy (no corrections) at -2438 meV/atom. Its density of states at the Fermi level is 0.000 states/eV per atom. The calculation puts the volume at 186.0 Å³/cell.

Unit cell a=6.568 b=6.567 c=6.260 alpha=121.65 beta=90.00 gamma=120.00
Atoms (fractional coordinates):
O1 0.230 0.000 0.269
O2 0.769 0.000 0.269
Er1 0.000 0.500 0.500
O3 0.769 0.539 0.269
Li1 0.000 0.000 0.000
Er2 0.500 0.500 0.500
O4 0.257 0.514 0.271
O5 0.743 0.486 0.729
Li2 0.000 0.500 0.000
O6 0.770 0.000 0.731
O7 0.231 0.000 0.731
Pt1 0.000 0.000 0.500
O8 0.231 0.461 0.731
Li3 0.500 0.500 0.000
Er3 0.500 0.000 0.500

---

Record 13
# Li2ErPtO4

Crystalline Li2ErPtO4 at its relaxed geometry (PBE-GGA, the Alexandria database).

The calculation puts the formation energy (no corrections) at -1865 meV/atom. Its density of states at the Fermi level is 0.003 states/eV per atom. The calculation puts the volume at 90.7 Å³/cell.

Unit cell a=3.230 b=5.388 c=5.554 alpha=110.28 beta=90.00 gamma=90.00
Atoms (fractional coordinates):
O1 0.500 0.794 0.779
Pt1 0.000 0.000 0.000
Li1 0.000 0.500 0.500
O2 0.000 0.285 0.731
Li2 0.500 0.000 0.500
O3 0.500 0.206 0.221
Er1 0.500 0.500 0.000
O4 0.000 0.715 0.269

---

Record 14
# LiErPuO6

Crystalline LiErPuO6 at its relaxed geometry (PBE-GGA, the Alexandria database).

The calculation puts the formation energy (no corrections) at -2444 meV/atom. Its density of states at the Fermi level is 0.343 states/eV per atom. The calculation puts the volume at 117.8 Å³/cell.

Unit cell a=4.871 b=5.284 c=5.284 alpha=120.00 beta=90.00 gamma=90.00
Atoms (fractional coordinates):
O1 0.726 0.355 0.025
Pu1 0.500 0.667 0.333
O2 0.274 0.975 0.645
O3 0.726 0.975 0.330
O4 0.726 0.670 0.645
Er1 0.000 0.333 0.667
Li1 0.500 0.000 0.000
O5 0.274 0.670 0.025
O6 0.274 0.355 0.330

---

Record 15
# LiEr2PuO6

Crystalline LiEr2PuO6 at its relaxed geometry (PBE-GGA, the Alexandria database).

The calculation puts the formation energy (no corrections) at -3018 meV/atom. Its density of states at the Fermi level is 1.086 states/eV per atom. The calculation puts the volume at 140.6 Å³/cell.

Unit cell a=5.693 b=5.693 c=5.991 alpha=61.63 beta=61.63 gamma=60.00
Atoms (fractional coordinates):
O1 0.222 0.935 0.239
O2 0.411 0.698 0.762
O3 0.604 0.222 0.239
Er1 0.020 0.020 0.941
Li1 0.798 0.797 0.608
O4 0.129 0.411 0.762
O5 0.935 0.604 0.239
Er2 0.528 0.528 0.417
O6 0.698 0.129 0.762
Pu1 0.318 0.318 0.045

---

Record 16
# RbLiEr2O4

Crystalline RbLiEr2O4 at its relaxed geometry (PBE-GGA, the Alexandria database).

The calculation puts the formation energy (no corrections) at -2856 meV/atom. Its density of states at the Fermi level is 0.000 states/eV per atom. The calculation puts the volume at 232.8 Å³/cell.

Unit cell a=3.448 b=6.060 c=11.621 alpha=90.00 beta=90.00 gamma=106.53
Atoms (fractional coordinates):
Rb1 0.099 0.198 0.750
O1 0.250 0.500 0.402
O2 0.399 0.797 0.750
O3 0.750 0.500 0.598
Er1 0.365 0.730 0.941
Er2 0.635 0.270 0.441
O4 0.750 0.500 0.902
O5 0.000 0.000 0.000
O6 0.601 0.203 0.250
Er3 0.635 0.270 0.059
Er4 0.365 0.730 0.559
O7 0.000 0.000 0.500
O8 0.250 0.500 0.098
Li1 0.819 0.638 0.750
Li2 0.181 0.362 0.250
Rb2 0.901 0.802 0.250